! PBE Ac2CeBi, relaxed; values from VASP
! * offset from the most stable computed form: 229 meV/atom
! * electronic total energy: -0.337 Ry per atom
! * V: 589 Å³ per cell
&SYSTEM
  ibrav = 0, nat = 16, ntyp = 3
/
ATOMIC_SPECIES
Ac 227.00 Ac.upf
Ce 140.12 Ce.upf
Bi 208.98 Bi.upf
ATOMIC_POSITIONS angstrom
Ac 2.096 2.096 2.096
Ac 2.096 2.096 6.288
Ac 2.096 6.288 2.096
Ac 2.096 6.288 6.288
Ac 6.288 2.096 2.096
Ac 6.288 2.096 6.288
Ac 6.288 6.288 2.096
Ac 6.288 6.288 6.288
Ce 0.000 0.000 0.000
Ce 0.000 4.192 4.192
Ce 4.192 0.000 4.192
Ce 4.192 4.192 0.000
Bi 0.000 0.000 4.192
Bi 0.000 4.192 0.000
Bi 4.192 0.000 0.000
Bi 4.192 4.192 4.192
CELL_PARAMETERS angstrom
8.385 0.000 0.000
0.000 8.385 0.000
0.000 0.000 8.385

=====

! PBE Na3Mg2PaS6, relaxed; values from VASP
! * ΔE_f (raw): -1.46 eV/atom
! * electronic total energy: -0.361 Ry per atom
! * V: 255 Å³ per cell
&SYSTEM
  ibrav = 0, nat = 12, ntyp = 4
/
ATOMIC_SPECIES
Na 22.99 Na.upf
Mg 24.30 Mg.upf
Pa 231.04 Pa.upf
S 32.06 S.upf
ATOMIC_POSITIONS angstrom
Na 0.000 0.000 0.000
Na 3.320 1.934 0.000
Na 3.320 -1.934 0.000
Mg 2.215 3.840 3.340
Mg 2.215 -3.840 3.340
Pa 2.215 0.000 3.340
S 1.107 1.919 1.870
S 0.001 0.000 4.808
S 1.107 -1.919 1.870
S 3.322 1.919 4.809
S 4.428 0.000 1.871
S 3.322 -1.919 4.809
CELL_PARAMETERS angstrom
3.320 -5.752 0.000
3.320 5.752 0.000
-2.211 0.000 6.679